# TmTlGa2

A relaxed structure of TmTlGa2 (PBE, the Alexandria database).

The calculation puts the energy of formation at 0.192 eV per atom. The calculation puts the energy above the lowest structure with this stoichiometry at 12.27 kcal/mol of atoms. The density of states at the Fermi level comes out at 5.300 states/eV per cell.

The structure belongs to space group R-3m (No. 166, hexagonal axes); the cell edges are 4.8975, 4.8975 and 19.3854 Å and the angles 90.00°, 90.00° and 120.00°. Symmetry generates all atoms from Tm at (0.0000, 0.0000, 0.0000), Tl at (0.0000, 0.0000, 0.5000) and Ga at (0.0000, 0.0000, 0.3563).

# Tm7Tl2Ga

A relaxed structure of Tm7Tl2Ga (PBE, the Alexandria database).

The calculation puts the energy of formation at -0.087 eV per atom. The density of states at the Fermi level comes out at 11.904 states/eV per cell.

The structure belongs to space group P3m1 (No. 156); the cell edges are 5.1343, 5.1343 and 12.5825 Å and the angles 90.00°, 90.00° and 120.00°. Symmetry generates all atoms from Tm at (0.0000, 0.0000, 0.0000), Tm at (0.0000, 0.0000, 0.2536), Tm at (0.0000, 0.0000, 0.7333), Tm at (0.3333, 0.6667, 0.3896), Tm at (0.3333, 0.6667, 0.8862), Tm at (0.6667, 0.3333, 0.1272), Tm at (0.6667, 0.3333, 0.5696), Tl at (0.0000, 0.0000, 0.4930), Tl at (0.6667, 0.3333, 0.8398) and Ga at (0.3333, 0.6667, 0.1386).

# Tm2TlGa

A relaxed structure of Tm2TlGa (PBE, the Alexandria database).

The calculation puts the energy of formation at -0.428 eV per atom. The calculation puts the energy above the lowest structure with this stoichiometry at 0.00 kcal/mol of atoms. The density of states at the Fermi level comes out at 1.404 states/eV per cell.

The structure belongs to space group P4/mmm (No. 123); the cell edges are 3.519, 3.519 and 7.835 Å and the angles 90.00°, 90.00° and 90.00°. Symmetry generates all atoms from Tm at (0.000, 0.000, 0.230), Tl at (0.500, 0.500, 0.500) and Ga at (0.500, 0.500, 0.000).

- Number 3 is which compound?
  Tm2TlGa